# Na2PrO3

Crystalline Na2PrO3 at its relaxed geometry (PBE-GGA, the Alexandria database).

Computed properties:
total DFT energy (no corrections)	-5.58	eV/atom
uncorrected formation energy	-1867	meV/atom

Unit cell a=4.783 b=4.783 c=4.782 alpha=90.00 beta=90.00 gamma=90.00
Positions (direct):
Na: 0.000 0.500 0.000
Na: 0.500 0.000 0.000
Pr: 0.000 0.000 0.500
O: 0.000 0.000 0.000
O: 0.000 0.500 0.500
O: 0.500 0.000 0.500